## CeSmU2N4 (PBE)

Data for crystalline CeSmU2N4 at its relaxed geometry.

Properties
VASP energy: -77.7 eV/f.u.
Fermi-level density of states: 10.1 states/eV/cell
volume: 120.5 Å³ per cell
magnetization: 1.0 Bohr magnetons per cell
E_form (uncorrected): -1390 meV per atom

Cell: 4.967 4.967 6.016 Å, 114.38 114.38 90.00°
Site moments in Bohr magnetons follow the coordinates.
Fractional coordinates of all 8 atoms:
Ce 0.750 0.250 0.500  -0.01
Sm 0.500 0.500 0.000  0.00
U 0.250 0.750 0.500  0.55
U 0.000 0.000 0.000  0.47
N 0.014 0.514 0.029  -0.02
N 0.486 0.986 0.971  -0.02
N 0.764 0.764 0.528  -0.02
N 0.236 0.236 0.472  -0.02



## CeSmVN4 (PBE)

Data for crystalline CeSmVN4 at its relaxed geometry.

Properties
VASP energy: -61.7 eV/f.u.
Fermi-level density of states: 2.2 states/eV/cell
volume: 180.2 Å³ per cell
magnetization: 0.0 Bohr magnetons per cell
E_form (uncorrected): -1237 meV per atom

Cell: 5.377 5.368 6.799 Å, 90.00 113.29 90.00°
Fractional coordinates of all 14 atoms:
Ce 0.105 0.250 0.211
Ce 0.895 0.750 0.789
Sm 0.611 0.750 0.221
Sm 0.389 0.250 0.779
V 0.270 0.750 0.540
V 0.730 0.250 0.460
N 0.933 0.250 0.867
N 0.417 0.750 0.833
N 0.067 0.750 0.133
N 0.583 0.250 0.167
N 0.500 0.500 0.500
N 0.000 0.000 0.500
N 0.500 0.000 0.500
N 0.000 0.500 0.500